An optimized crystal structure of BaSrW2, computed with PBEsol.

The space group is Pmmm (No. 47) and the conventional cell measures 2.9247, 5.3345 and 6.5770 Å, with angles of 90.00, 90.00 and 90.00 degrees. The inequivalent atoms are Ba at (0.0000, 0.0000, 0.0000), Sr at (0.0000, 0.0000, 0.5000) and W at (0.5000, 0.5000, 0.3154).

The energy above the most stable polymorph in this dataset comes out at 1.93 eV per formula unit. The energy comes out at -6.47 eV/atom. As for the energy of formation from the pure elements: 5.7 eV/f.u.

An optimized crystal structure of AlC2, computed with PBEsol.

The space group is I4/mcm (No. 140) and the conventional cell measures 4.5993, 4.5993 and 5.4087 Å, with angles of 90.00, 90.00 and 90.00 degrees. The inequivalent atoms are Al at (0.0000, 0.0000, 0.2500) and C at (0.1012, 0.3988, 0.0000).

The energy above the most stable polymorph in this dataset comes out at 1.97 eV per formula unit. The energy comes out at -6.57 eV/atom. As for the energy of formation from the pure elements: 3.7 eV/f.u.

An optimized crystal structure of Hf2BiIrPd, computed with PBEsol.

The space group is P4/mmm (No. 123) and the conventional cell measures 4.9465, 4.9465 and 5.0570 Å, with angles of 90.00, 90.00 and 90.00 degrees. The inequivalent atoms are Hf at (0.0000, 0.5000, 0.0000), Bi at (0.0000, 0.0000, 0.5000), Ir at (0.0000, 0.0000, 0.0000) and Pd at (0.5000, 0.5000, 0.5000).

The energy comes out at -7.64 eV/atom. As for the energy of formation from the pure elements: 2.9 eV/f.u.

An optimized crystal structure of NdSn4Rh2, computed with PBEsol.

The space group is Pnma (No. 62) and the conventional cell measures 18.3469, 4.4659 and 7.1011 Å, with angles of 90.00, 90.00 and 90.00 degrees. The inequivalent atoms are Nd at (0.1414, 0.2500, 0.0015), Sn at (0.0322, 0.7500, 0.8656), Sn at (0.0677, 0.2500, 0.4790), Sn at (0.1822, 0.7500, 0.2993), Sn at (0.1943, 0.7500, 0.7214), Rh at (0.0344, 0.7500, 0.2511) and Rh at (0.2133, 0.2500, 0.5147).

The energy comes out at -6.17 eV/atom. As for the energy of formation from the pure elements: -4.7 eV/f.u.

An optimized crystal structure of YCo4Cu, computed with PBEsol.

The space group is F-43m (No. 216) and the conventional cell measures 6.7899, 6.7899 and 6.7899 Å, with angles of 90.00, 90.00 and 90.00 degrees. The inequivalent atoms are Y at (0.0000, 0.0000, 0.0000), Co at (0.1239, 0.1239, 0.6239) and Cu at (0.2500, 0.2500, 0.2500).

The energy comes out at -7.04 eV/atom. As for the energy of formation from the pure elements: -0.2 eV/f.u.

An optimized crystal structure of LiRu2W, computed with PBEsol.

The space group is P4/mmm (No. 123) and the conventional cell measures 3.0431, 3.0431 and 5.7437 Å, with angles of 90.00, 90.00 and 90.00 degrees. The inequivalent atoms are Li at (0.0000, 0.0000, 0.0000), Ru at (0.5000, 0.5000, 0.2399) and W at (0.0000, 0.0000, 0.5000).

The energy above the most stable polymorph in this dataset comes out at 0.31 eV per formula unit. The energy comes out at -8.95 eV/atom. As for the energy of formation from the pure elements: 0.3 eV/f.u.

An optimized crystal structure of Ti2S3O12, computed with PBEsol.

The space group is R-3 (No. 148, hexagonal axes) and the conventional cell measures 8.5963, 8.5963 and 22.0709 Å, with angles of 90.00, 90.00 and 120.00 degrees. The inequivalent atoms are Ti at (0.0000, 0.0000, 0.1447), Ti at (0.0000, 0.0000, 0.3542), S at (0.0011, 0.2892, 0.7499), O at (0.0117, 0.8187, 0.9101), O at (0.0187, 0.8165, 0.1949), O at (0.0396, 0.2097, 0.6966) and O at (0.0417, 0.2075, 0.4082).

The energy comes out at -7.29 eV/atom. The value obtained for the formation energy without anion corrections is -1829 meV/atom.

An optimized crystal structure of Ba3CdMo, computed with PBEsol.

The space group is Pm-3m (No. 221) and the conventional cell measures 6.3826, 6.3826 and 6.3826 Å, with angles of 90.00, 90.00 and 90.00 degrees. The inequivalent atoms are Ba at (0.0000, 0.0000, 0.5000), Cd at (0.0000, 0.0000, 0.0000) and Mo at (0.5000, 0.5000, 0.5000).

The energy comes out at -2.80 eV/atom. As for the energy of formation from the pure elements: 5.4 eV/f.u.

Look up the energy of the seventh one.
-7.29 eV/atom

Repeat the first record exactly.
An optimized crystal structure of BaSrW2, computed with PBEsol.

The space group is Pmmm (No. 47) and the conventional cell measures 2.9247, 5.3345 and 6.5770 Å, with angles of 90.00, 90.00 and 90.00 degrees. The inequivalent atoms are Ba at (0.0000, 0.0000, 0.0000), Sr at (0.0000, 0.0000, 0.5000) and W at (0.5000, 0.5000, 0.3154).

The energy above the most stable polymorph in this dataset comes out at 1.93 eV per formula unit. The energy comes out at -6.47 eV/atom. As for the energy of formation from the pure elements: 5.7 eV/f.u.

Among the records above, which one has the lowest energy?
LiRu2W